Record 1
VASP calculation (SCAN) on a PBEsol-optimized structure of AgTe6Mo6.

Values from the calculation:
DOS(E_F)   0.2678 states/eV per atom
Formation energy from raw total energies   -0.225 eV/atom

Geometry as POSCAR:
```
AgTe6Mo6
1.0
4.547 0.000 0.000
-2.274 8.741 0.037
0.000 -4.538 7.919
Te Mo Ag
6 6 1
Cartesian
2.274 1.458 7.172
0.000 -0.913 5.067
2.274 -0.445 1.963
2.274 5.116 2.889
0.000 4.648 5.993
0.000 2.745 0.784
0.000 1.846 5.478
2.274 3.251 4.972
0.000 0.952 2.984
2.274 0.662 4.499
0.000 3.541 3.457
2.274 2.357 2.477
0.000 0.000 0.000
```

=====

Record 2
VASP calculation (SCAN) on a PBEsol-optimized structure of MnAgRh2.

Values from the calculation:
DOS(E_F)   0.9330 states/eV per atom
Energy of formation from the pure elements   -23 kJ/mol of formula units

Geometry as POSCAR:
```
MnAgRh2
1.0
-0.467 2.661 0.501
-2.568 -2.450 3.085
4.166 0.334 2.107
Rh Mn Ag
2 1 1
Cartesian
-0.343 -0.450 2.067
1.475 0.994 3.627
-0.233 1.330 0.251
2.083 0.167 1.053
```

=====

Record 3
VASP calculation (SCAN) on a PBEsol-optimized structure of ReSbIN2.

Values from the calculation:
DOS(E_F)   0.4665 states/eV per atom
Formation energy from raw total energies   2.204 eV/atom

Geometry as POSCAR:
```
ReSbIN2
1.0
-1.654 -2.269 2.811
1.494 -3.244 -1.740
5.300 0.536 3.553
Re Sb I N
1 1 1 2
Cartesian
2.570 -2.489 2.312
0.000 0.000 0.000
2.650 0.268 1.777
0.747 -1.622 -0.870
-0.827 -1.135 1.405
```

=====

Number 1: calculated total energy -35.93 eV/atom. Number 2: calculated total energy -29.35 eV/atom. Number 3: calculated total energy -30.53 eV/atom.